No. 1
LiCaSi2Rh | SCAN | PBEsol geometry

a b c (Å): 4.2713 4.2713 4.5446
angles (deg): 90.00 90.00 90.00
Space group P4/mmm (No. 123)
Symmetry-distinct sites (fractional):
Li  0.0000  0.0000  0.0000 [1 per cell]
Ca  0.0000  0.0000  0.5000 [1 per cell]
Si  0.0000  0.5000  0.0000 [2 per cell]
Rh  0.5000  0.5000  0.5000 [1 per cell]

Calculated values
Uncorrected formation energy ... 0.57 eV per atom
Size of the total moment ... 0.0000 μB/atom

***

No. 2
Ca2MnAgF | SCAN | PBEsol geometry

a b c (Å): 5.4208 5.4208 4.6109
angles (deg): 90.00 90.00 90.00
Space group P4/mmm (No. 123)
Symmetry-distinct sites (fractional):
Ca  0.0000  0.5000  0.0000 [2 per cell]
Mn  0.0000  0.0000  0.0000 [1 per cell]
Ag  0.0000  0.0000  0.5000 [1 per cell]
F  0.5000  0.5000  0.5000 [1 per cell]

Calculated values
Uncorrected formation energy ... -0.13 eV per atom
Size of the total moment ... 0.6058 μB/atom

***

No. 3
Cs2Au2Cl | SCAN | PBEsol geometry

a b c (Å): 3.8965 3.8965 19.8851
angles (deg): 90.00 90.00 90.00
Space group I4/mmm (No. 139)
Symmetry-distinct sites (fractional):
Cs  0.0000  0.0000  0.1027 [4 per cell]
Au  0.0000  0.5000  0.2500 [4 per cell]
Cl  0.0000  0.0000  0.5000 [2 per cell]

Calculated values
Uncorrected formation energy ... -1.03 eV per atom
Size of the total moment ... 0.0002 μB/atom
Energy above the lowest structure with this stoichiometry ... 0 meV per atom